1.
VASP calculation (SCAN) on a crystal of SiTeAuN2 relaxed with PBEsol.

Cell and atoms, written as POSCAR:
```
SiTeAuN2
1.0
3.899 0.000 0.000
0.000 3.899 0.000
0.000 0.000 6.972
Si Te Au N
1 1 1 2
Direct
0.000 0.000 0.000 Si
0.500 0.500 0.000 Te
0.500 0.500 0.500 Au
0.000 0.500 0.500 N
0.500 0.000 0.500 N
```

Results
Uncorrected energy   -25.33 eV/atom
DOS at the Fermi energy   2.045 states/eV/f.u.
Spin magnetization   2.7 μB/cell

***

2.
VASP calculation (SCAN) on a crystal of Sn2WAuN relaxed with PBEsol.

Cell and atoms, written as POSCAR:
```
Sn2WAuN
1.0
5.230 0.000 0.000
0.000 5.230 0.000
0.000 0.000 4.940
Sn W Au N
2 1 1 1
Direct
0.000 0.500 0.000 Sn
0.500 0.000 0.000 Sn
0.000 0.000 0.000 W
0.000 0.000 0.500 Au
0.500 0.500 0.500 N
```

Results
Uncorrected energy   -42.43 eV/atom
DOS at the Fermi energy   2.557 states/eV/f.u.
Spin magnetization   2.7 μB/cell

***

3.
VASP calculation (SCAN) on a crystal of TcAuN2 relaxed with PBEsol.

Cell and atoms, written as POSCAR:
```
TcAuN2
1.0
1.423 0.821 6.503
-1.423 0.821 6.503
0.000 -1.643 6.503
Tc Au N
1 1 2
Direct
0.000 0.000 0.000 Tc
0.500 0.500 0.500 Au
0.396 0.396 0.396 N
0.604 0.604 0.604 N
```

Results
E above lowest polymorph   0.0 meV per atom
Uncorrected energy   -30.48 eV/atom
DOS at the Fermi energy   1.876 states/eV/f.u.
Spin magnetization   0.0 μB/cell

***

Q: DOS at the Fermi energy of number 3 (TcAuN2)?
A: 1.876 states/eV/f.u.